Compound: MnCuSnRu2
Source: Alexandria
Functional: GGA-PBE
Structure: optimized geometry

Space-group type ... P4/mmm (123)
DFT total energy ... -6.150 eV/atom

Cell: 4.621 4.621 4.383 Å, 90.00 90.00 90.00°
Element x y z (fractional)
Mn  0.000  0.000  0.000
Cu  0.000  0.000  0.500
Sn  0.500  0.500  0.000
Ru  0.000  0.500  0.500
Ru  0.500  0.000  0.500

---

Compound: MnCu2SnRu
Source: Alexandria
Functional: GGA-PBE
Structure: optimized geometry

Space-group type ... P4/mmm (123)
DFT total energy ... -5.196 eV/atom

Cell: 4.736 4.736 4.474 Å, 90.00 90.00 90.00°
Element x y z (fractional)
Mn  0.000  0.000  0.000
Cu  0.000  0.500  0.500
Cu  0.500  0.000  0.500
Sn  0.500  0.500  0.000
Ru  0.000  0.000  0.500